(1)
Computed, not measured: an optimized crystal structure of Nd3TlNi at the PBE level of DFT.

Unit cell a=7.8283 b=7.8283 c=5.3886 alpha=90.00 beta=90.00 gamma=120.00
With the nearest neighbours (Å) after each atom.
Element x y z (fractional)
Nd1 0.1813 0.3626 0.2500  2 Ni 2.80
Nd2 0.1813 0.8187 0.2500  2 Ni 2.80
Nd3 0.3626 0.1813 0.7500  2 Ni 2.80
Nd4 0.6374 0.8187 0.2500  2 Ni 2.80
Nd5 0.8187 0.1813 0.7500  2 Ni 2.80
Nd6 0.8187 0.6374 0.7500  2 Ni 2.80
Tl1 0.3333 0.6667 0.7500  6 Nd 3.39
Tl2 0.6667 0.3333 0.2500  6 Nd 3.39
Ni1 0.0000 0.0000 0.0000  2 Ni 2.69, 6 Nd 2.80
Ni2 0.0000 0.0000 0.5000  2 Ni 2.69, 6 Nd 2.80

Values from the calculation:
**DFT formation energy**: -0.232 eV/atom
**Space-group type**: P6_3/mmc (194)
**Energy above the lowest structure with this stoichiometry**: 0.02 eV per formula unit


(2)
Computed, not measured: an optimized crystal structure of Zn2Ni15Pt2 at the PBE level of DFT.

Unit cell a=6.1955 b=6.1955 c=6.1955 alpha=81.77 beta=81.77 gamma=81.77
With the nearest neighbours (Å) after each atom.
Element x y z (fractional)
Zn1 0.1079 0.1079 0.1079  6 Ni 2.45-2.53, 1 Zn 2.63
Zn2 0.8921 0.8921 0.8921  6 Ni 2.45-2.53, 1 Zn 2.63
Ni1 0.0000 0.0000 0.5000  8 Ni 2.37-2.40, 2 Zn 2.45
Ni2 0.0000 0.3148 0.6852  8 Ni 2.40-2.55
Ni3 0.0000 0.5000 0.0000  8 Ni 2.37-2.40, 2 Zn 2.45
Ni4 0.0000 0.6852 0.3148  8 Ni 2.40-2.55
Ni5 0.1640 0.6539 0.6539  8 Ni 2.31-2.50, 1 Zn 2.53
Ni6 0.3148 0.0000 0.6852  8 Ni 2.40-2.55
Ni7 0.3148 0.6852 0.0000  8 Ni 2.40-2.55
Ni8 0.3461 0.3461 0.8360  8 Ni 2.31-2.50, 1 Zn 2.53
Ni9 0.3461 0.8360 0.3461  8 Ni 2.31-2.50, 1 Zn 2.53
Ni10 0.5000 0.0000 0.0000  8 Ni 2.37-2.40, 2 Zn 2.45
Ni11 0.6539 0.1640 0.6539  8 Ni 2.31-2.50, 1 Zn 2.53
Ni12 0.6539 0.6539 0.1640  8 Ni 2.31-2.50, 1 Zn 2.53
Ni13 0.6852 0.0000 0.3148  8 Ni 2.40-2.55
Ni14 0.6852 0.3148 0.0000  8 Ni 2.40-2.55
Ni15 0.8360 0.3461 0.3461  8 Ni 2.31-2.50, 1 Zn 2.53
Pt1 0.3695 0.3695 0.3695  12 Ni 2.73-2.86
Pt2 0.6305 0.6305 0.6305  12 Ni 2.73-2.86

Values from the calculation:
**DFT formation energy**: 0.099 eV/atom
**Space-group type**: R-3m (166)


(3)
Computed, not measured: an optimized crystal structure of NiAs2Rh at the PBE level of DFT.

Unit cell a=7.3626 b=7.3626 c=7.3626 alpha=25.67 beta=25.67 gamma=25.67
With the nearest neighbours (Å) after each atom.
Element x y z (fractional)
Ni1 0.0000 0.0000 0.0000  3 As 2.29
As1 0.5040 0.5040 0.5040  3 Rh 2.40
As2 0.7276 0.7276 0.7276  3 Ni 2.29
Rh1 0.2401 0.2401 0.2401  3 As 2.40

Values from the calculation:
**DFT formation energy**: -0.046 eV/atom
**Space-group type**: R3m (160)


(4)
Computed, not measured: an optimized crystal structure of K2CdPdO4 at the PBE level of DFT.

Unit cell a=5.9662 b=3.3017 c=6.3030 alpha=90.00 beta=109.03 gamma=90.00
With the nearest neighbours (Å) after each atom.
Element x y z (fractional)
K1 0.0000 0.0000 0.0000  6 O 2.79-2.92
K2 0.5000 0.5000 0.0000  6 O 2.63
Cd1 0.0000 0.5000 0.5000  6 O 2.30-2.45
Pd1 0.5000 0.0000 0.5000  6 O 2.09-2.11
O1 0.2618 0.0000 0.6810  1 Pd 2.09, 2 Cd 2.30
O2 0.3080 0.5000 0.3213  2 Pd 2.11
O3 0.6920 0.5000 0.6787  2 Pd 2.11
O4 0.7382 0.0000 0.3190  1 Pd 2.09, 2 Cd 2.30

Values from the calculation:
**Space-group type**: P2/m (10)
**Formation energy without anion corrections**: -0.96 eV per atom


(5)
Computed, not measured: an optimized crystal structure of NbPC3 at the PBE level of DFT.

Unit cell a=3.6385 b=3.6385 c=3.6385 alpha=90.00 beta=90.00 gamma=90.00
With the nearest neighbours (Å) after each atom.
Element x y z (fractional)
Nb1 0.0000 0.0000 0.0000  12 C 2.57
P1 0.5000 0.5000 0.5000  6 C 1.82
C1 0.0000 0.5000 0.5000  2 P 1.82
C2 0.5000 0.0000 0.5000  2 P 1.82
C3 0.5000 0.5000 0.0000  2 P 1.82

Values from the calculation:
**DFT formation energy**: 1.572 eV/atom
**Space-group type**: Pm-3m (221)
**Energy above the lowest structure with this stoichiometry**: 0.00 eV per formula unit


(6)
Computed, not measured: an optimized crystal structure of BaRe3Ru at the PBE level of DFT.

Unit cell a=4.8376 b=4.8376 c=4.8376 alpha=90.00 beta=90.00 gamma=90.00
With the nearest neighbours (Å) after each atom.
Element x y z (fractional)
Ba1 0.0000 0.0000 0.0000  12 Re 3.42
Re1 0.0000 0.5000 0.5000  2 Ru 2.42
Re2 0.5000 0.0000 0.5000  2 Ru 2.42
Re3 0.5000 0.5000 0.0000  2 Ru 2.42
Ru1 0.5000 0.5000 0.5000  6 Re 2.42

Values from the calculation:
**DFT formation energy**: 1.762 eV/atom
**Space-group type**: Pm-3m (221)
**Energy above the lowest structure with this stoichiometry**: 0.00 eV per formula unit


| no. | total moment (μB per atom) |
| --- | --- |
| 1 | 0.00 |
| 2 | 0.43 |
| 3 | 0.00 |
| 4 | 0.00 |
| 5 | 0.00 |
| 6 | 0.36 |